1.
{"formula": "Nd3B2Rh5", "functional": "GGA-PBE", "state": "relaxed", "lattice_angstrom": [[-4.6556, 6.2853, 2.9913], [4.6556, -6.2853, 2.9913], [4.6556, 6.2853, -2.9913]], "species": ["Nd", "Nd", "Nd", "Nd", "Nd", "Nd", "B", "B", "B", "B", "Rh", "Rh", "Rh", "Rh", "Rh", "Rh", "Rh", "Rh", "Rh", "Rh"], "frac_coords": [[0.1342, 0.7292, 0.8634], [0.2500, 0.2500, 0.0000], [0.3658, 0.2292, 0.5950], [0.6342, 0.7708, 0.4050], [0.7500, 0.7500, 0.0000], [0.8658, 0.2708, 0.1366], [0.1702, 0.0934, 0.2636], [0.3298, 0.5934, 0.9232], [0.6702, 0.4066, 0.0768], [0.8298, 0.9066, 0.7364], [0.0110, 0.7500, 0.2610], [0.1111, 0.2923, 0.4033], [0.2500, 0.7500, 0.5000], [0.3889, 0.7923, 0.1812], [0.4890, 0.7500, 0.7390], [0.5110, 0.2500, 0.2610], [0.6111, 0.2077, 0.8188], [0.7500, 0.2500, 0.5000], [0.8889, 0.7077, 0.5967], [0.9890, 0.2500, 0.7390]], "sg": "Ibam", "final_energy_ev_per_fu": -68.7, "formation_energy_ev_per_atom": -0.432}

2.
{"formula": "LaY2TmTh", "functional": "GGA-PBE", "state": "relaxed", "lattice_angstrom": [[3.5335, 0.0000, 0.0000], [0.0000, 5.6622, 0.0000], [0.0000, 0.0000, 8.7702]], "species": ["La", "Y", "Y", "Tm", "Th"], "frac_coords": [[0.0000, 0.0000, 0.0000], [0.0000, 0.5000, 0.3217], [0.0000, 0.5000, 0.6783], [0.5000, 0.0000, 0.5000], [0.5000, 0.5000, 0.0000]], "sg": "Pmmm", "final_energy_ev_per_fu": -28.2, "formation_energy_ev_per_atom": 0.302}

3.
{"formula": "MgTcAu", "functional": "GGA-PBE", "state": "relaxed", "lattice_angstrom": [[-1.3695, 2.0613, 4.4430], [1.3695, -2.0613, 4.4430], [1.3695, 2.0613, -4.4430]], "species": ["Mg", "Tc", "Au"], "frac_coords": [[0.0000, 0.0000, 0.0000], [0.3329, 0.3329, 0.0000], [0.6639, 0.6639, 0.0000]], "sg": "Imm2", "final_energy_ev_per_fu": -14.5, "de_polymorph_mev_per_atom": 135.8, "formation_energy_ev_per_atom": 0.233}

4.
{"formula": "KRhSe2", "functional": "GGA-PBE", "state": "relaxed", "lattice_angstrom": [[3.5609, 0.0000, 0.0000], [0.0000, 3.5609, 0.0000], [0.0000, 0.0000, 8.0556]], "species": ["K", "Rh", "Se", "Se"], "frac_coords": [[0.0000, 0.0000, 0.0000], [0.5000, 0.5000, 0.4606], [0.0000, 0.0000, 0.3971], [0.5000, 0.5000, 0.7569]], "sg": "P4mm", "final_energy_ev_per_fu": -16.4}